(1)
First-principles (PBE) data for DyTiGaCu after structural relaxation, as listed in Alexandria.

Properties
The total DFT energy (no corrections) comes out at -20.570 eV/cell. The calculation puts the energy of formation from the pure elements at -238 meV per atom.

a = 4.729 Å, b = 4.729 Å, c = 4.729 Å
α = 60.00°, β = 60.00°, γ = 60.00°
Sites, in units of the cell vectors:
Dy (0.000, 0.000, 0.000)
Ti (0.500, 0.500, 0.500)
Ga (0.250, 0.250, 0.250)
Cu (0.750, 0.750, 0.750)

---

(2)
First-principles (PBE) data for PrDyRh4 after structural relaxation, as listed in Alexandria.

Properties
The total DFT energy (no corrections) comes out at -42.863 eV/cell. The calculation puts the energy of formation from the pure elements at -679 meV per atom.

a = 5.388 Å, b = 5.388 Å, c = 5.388 Å
α = 60.00°, β = 60.00°, γ = 60.00°
Sites, in units of the cell vectors:
Pr (0.000, 0.000, 0.000)
Dy (0.750, 0.750, 0.750)
Rh (0.375, 0.375, 0.375)
Rh (0.375, 0.375, 0.874)
Rh (0.375, 0.874, 0.375)
Rh (0.874, 0.375, 0.375)

---

(3)
First-principles (PBE) data for BaY2Pt after structural relaxation, as listed in Alexandria.

Properties
The energy above the lowest structure with this stoichiometry is 0.123 eV/atom. The total DFT energy (no corrections) comes out at -22.547 eV/cell. The calculation puts the energy of formation from the pure elements at -414 meV per atom.

a = 6.565 Å, b = 6.565 Å, c = 6.735 Å
α = 120.76°, β = 120.76°, γ = 34.36°
Sites, in units of the cell vectors:
Ba (0.000, 0.000, 0.000)
Y (0.174, 0.174, 0.676)
Y (0.365, 0.365, 0.368)
Pt (0.729, 0.729, 0.016)

---

(4)
First-principles (PBE) data for Mn4CrPt5 after structural relaxation, as listed in Alexandria.

Properties
The total DFT energy (no corrections) comes out at -79.396 eV/cell. The calculation puts the energy of formation from the pure elements at -289 meV per atom.

a = 3.210 Å, b = 3.210 Å, c = 14.756 Å
α = 90.00°, β = 90.00°, γ = 90.00°
Sites, in units of the cell vectors:
Mn (0.000, 0.000, 0.100)
Mn (0.000, 0.000, 0.301)
Mn (0.000, 0.000, 0.699)
Mn (0.000, 0.000, 0.900)
Cr (0.000, 0.000, 0.500)
Pt (0.500, 0.500, 0.000)
Pt (0.500, 0.500, 0.201)
Pt (0.500, 0.500, 0.401)
Pt (0.500, 0.500, 0.599)
Pt (0.500, 0.500, 0.799)

---

(5)
First-principles (PBE) data for Pr2BiPdO6 after structural relaxation, as listed in Alexandria.

Properties
The total DFT energy (no corrections) comes out at -136.951 eV/cell. The value obtained for the uncorrected formation energy is -2009 meV/atom.

a = 5.290 Å, b = 5.783 Å, c = 11.504 Å
α = 90.00°, β = 116.15°, γ = 90.00°
Sites, in units of the cell vectors:
Pr (0.210, 0.055, 0.250)
Pr (0.210, 0.445, 0.750)
Pr (0.790, 0.555, 0.250)
Pr (0.790, 0.945, 0.750)
Bi (0.500, 0.000, 0.000)
Bi (0.500, 0.500, 0.500)
Pd (0.000, 0.000, 0.500)
Pd (0.000, 0.500, 0.000)
O (0.101, 0.230, 0.915)
O (0.101, 0.270, 0.415)
O (0.169, 0.707, 0.905)
O (0.169, 0.793, 0.405)
O (0.423, 0.065, 0.794)
O (0.423, 0.435, 0.294)
O (0.577, 0.565, 0.706)
O (0.577, 0.935, 0.206)
O (0.831, 0.207, 0.595)
O (0.831, 0.293, 0.095)
O (0.899, 0.730, 0.585)
O (0.899, 0.770, 0.085)

---

(6)
First-principles (PBE) data for NdTlRh after structural relaxation, as listed in Alexandria.

Properties
The total DFT energy (no corrections) comes out at -31.872 eV/cell. The calculation puts the energy of formation from the pure elements at -483 meV per atom.

a = 5.679 Å, b = 5.679 Å, c = 7.755 Å
α = 119.71°, β = 119.71°, γ = 42.88°
Sites, in units of the cell vectors:
Nd (0.071, 0.071, 0.335)
Nd (0.929, 0.929, 0.665)
Tl (0.327, 0.327, 0.922)
Tl (0.673, 0.673, 0.078)
Rh (0.359, 0.359, 0.336)
Rh (0.641, 0.641, 0.664)

---

(7)
First-principles (PBE) data for USnTe2 after structural relaxation, as listed in Alexandria.

Properties
The total DFT energy (no corrections) comes out at -22.884 eV/cell. The value obtained for the uncorrected formation energy is -327 meV/atom.

a = 3.808 Å, b = 3.808 Å, c = 7.686 Å
α = 90.00°, β = 90.00°, γ = 90.00°
Sites, in units of the cell vectors:
U (0.000, 0.000, 0.000)
Sn (0.000, 0.000, 0.500)
Te (0.500, 0.500, 0.226)
Te (0.500, 0.500, 0.774)

---

(8)
First-principles (PBE) data for MnAgRh2 after structural relaxation, as listed in Alexandria.

Properties
The energy above the lowest structure with this stoichiometry is 0.143 eV/atom. The total DFT energy (no corrections) comes out at -25.976 eV/cell. The calculation puts the energy of formation from the pure elements at 187 meV per atom.

a = 9.072 Å, b = 9.072 Å, c = 9.072 Å
α = 17.72°, β = 17.72°, γ = 17.72°
Sites, in units of the cell vectors:
Mn (0.000, 0.000, 0.000)
Ag (0.247, 0.247, 0.247)
Rh (0.491, 0.491, 0.491)
Rh (0.742, 0.742, 0.742)

---

(9)
First-principles (PBE) data for Be2TcB after structural relaxation, as listed in Alexandria.

Properties
The total DFT energy (no corrections) comes out at -48.192 eV/cell. The calculation puts the energy of formation from the pure elements at 100 meV per atom.

a = 4.748 Å, b = 4.748 Å, c = 4.748 Å
α = 101.67°, β = 101.67°, γ = 126.54°
Sites, in units of the cell vectors:
Be (0.062, 0.625, 0.937)
Be (0.375, 0.312, 0.437)
Be (0.688, 0.125, 0.063)
Be (0.875, 0.938, 0.563)
Tc (0.250, 0.750, 0.500)
Tc (0.500, 0.500, 0.000)
B (0.000, 0.000, 0.000)
B (0.750, 0.250, 0.500)

---

(10)
First-principles (PBE) data for Mg6CdSiO8 after structural relaxation, as listed in Alexandria.

Properties
The energy above the lowest structure with this stoichiometry is 0.011 eV/atom. The total DFT energy (no corrections) comes out at -89.467 eV/cell. The value obtained for the uncorrected formation energy is -2119 meV/atom.

a = 4.436 Å, b = 4.436 Å, c = 8.703 Å
α = 90.00°, β = 90.00°, γ = 90.00°
Sites, in units of the cell vectors:
Mg (0.000, 0.000, 0.000)
Mg (0.000, 0.000, 0.500)
Mg (0.000, 0.500, 0.247)
Mg (0.000, 0.500, 0.753)
Mg (0.500, 0.000, 0.247)
Mg (0.500, 0.000, 0.753)
Cd (0.500, 0.500, 0.500)
Si (0.500, 0.500, 0.000)
O (0.000, 0.000, 0.249)
O (0.000, 0.000, 0.751)
O (0.000, 0.500, 0.000)
O (0.000, 0.500, 0.500)
O (0.500, 0.000, 0.000)
O (0.500, 0.000, 0.500)
O (0.500, 0.500, 0.233)
O (0.500, 0.500, 0.767)

---

(11)
First-principles (PBE) data for La3Sm after structural relaxation, as listed in Alexandria.

Properties
The total DFT energy (no corrections) comes out at -38.907 eV/cell. The calculation puts the energy of formation from the pure elements at 12 meV per atom.

a = 7.371 Å, b = 7.371 Å, c = 5.280 Å
α = 90.00°, β = 90.00°, γ = 90.21°
Sites, in units of the cell vectors:
La (0.126, 0.376, 0.750)
La (0.126, 0.874, 0.750)
La (0.376, 0.126, 0.250)
La (0.624, 0.874, 0.750)
La (0.874, 0.126, 0.250)
La (0.874, 0.624, 0.250)
Sm (0.376, 0.624, 0.250)
Sm (0.624, 0.376, 0.750)

---

(12)
First-principles (PBE) data for Th2CoCl after structural relaxation, as listed in Alexandria.

Properties
The energy above the lowest structure with this stoichiometry is 0.021 eV/atom. The total DFT energy (no corrections) comes out at -26.914 eV/cell. The value obtained for the uncorrected formation energy is -780 meV/atom.

a = 7.945 Å, b = 7.945 Å, c = 7.945 Å
α = 29.16°, β = 29.16°, γ = 29.16°
Sites, in units of the cell vectors:
Th (0.000, 0.000, 0.000)
Th (0.207, 0.207, 0.207)
Co (0.603, 0.603, 0.603)
Cl (0.773, 0.773, 0.773)